(1)
{"formula": "CrBr3O", "functional": "PBE+U", "state": "optimized geometry", "spacegroup": "Pm-3m (221)", "total_magnetization_mub_per_atom": 0.120, "lattice_angstrom": [[4.784, 0.000, 0.000], [0.000, 4.784, 0.000], [0.000, 0.000, 4.784]], "species": ["Cr", "Br", "Br", "Br", "O"], "fractional_positions": [[0.000, 0.000, 0.000], [0.000, 0.500, 0.500], [0.500, 0.000, 0.500], [0.500, 0.500, 0.000], [0.500, 0.500, 0.500]]}

(2)
{"formula": "CrP2BrO", "functional": "PBE+U", "state": "optimized geometry", "spacegroup": "P4/mmm (123)", "total_magnetization_mub_per_atom": 0.000, "lattice_angstrom": [[4.699, 0.000, 0.000], [0.000, 4.699, 0.000], [0.000, 0.000, 3.601]], "species": ["Cr", "P", "P", "Br", "O"], "fractional_positions": [[0.000, 0.000, 0.000], [0.000, 0.500, 0.000], [0.500, 0.000, 0.000], [0.500, 0.500, 0.500], [0.000, 0.000, 0.500]]}

(3)
{"formula": "Cr2PBrO4", "functional": "PBE+U", "state": "optimized geometry", "spacegroup": "P2_1/c (14)", "total_magnetization_mub_per_atom": 1.000, "lattice_angstrom": [[6.498, 0.000, 0.000], [0.000, 11.868, 0.000], [-0.086, 0.000, 6.347]], "species": ["Cr", "Cr", "Cr", "Cr", "Cr", "Cr", "Cr", "Cr", "P", "P", "P", "P", "Br", "Br", "Br", "Br", "O", "O", "O", "O", "O", "O", "O", "O", "O", "O", "O", "O", "O", "O", "O", "O"], "fractional_positions": [[0.035, 0.105, 0.153], [0.035, 0.395, 0.653], [0.358, 0.614, 0.997], [0.358, 0.886, 0.497], [0.642, 0.114, 0.503], [0.642, 0.386, 0.003], [0.965, 0.605, 0.347], [0.965, 0.895, 0.847], [0.142, 0.127, 0.635], [0.142, 0.373, 0.135], [0.858, 0.627, 0.865], [0.858, 0.873, 0.365], [0.373, 0.667, 0.472], [0.373, 0.833, 0.972], [0.627, 0.167, 0.028], [0.627, 0.333, 0.528], [0.041, 0.617, 0.030], [0.041, 0.883, 0.530], [0.079, 0.061, 0.838], [0.079, 0.439, 0.338], [0.190, 0.248, 0.684], [0.190, 0.252, 0.184], [0.333, 0.065, 0.536], [0.333, 0.435, 0.036], [0.667, 0.565, 0.964], [0.667, 0.935, 0.464], [0.810, 0.748, 0.816], [0.810, 0.752, 0.316], [0.921, 0.561, 0.662], [0.921, 0.939, 0.162], [0.959, 0.117, 0.470], [0.959, 0.383, 0.970]]}

(4)
{"formula": "CrP2BrO", "functional": "PBE+U", "state": "optimized geometry", "spacegroup": "P4/mmm (123)", "total_magnetization_mub_per_atom": 0.770, "lattice_angstrom": [[5.027, 0.000, 0.000], [0.000, 5.027, 0.000], [0.000, 0.000, 3.650]], "species": ["Cr", "P", "P", "Br", "O"], "fractional_positions": [[0.000, 0.000, 0.000], [0.000, 0.500, 0.500], [0.500, 0.000, 0.500], [0.500, 0.500, 0.500], [0.500, 0.500, 0.000]]}

E_tot per entry: -2.60, -4.62, -7.09, -3.91 eV/atom